Record 1
A plane-wave DFT calculation with PBE-GGA was carried out for a relaxed CaHf2Br crystal.

Cell: 4.0731 4.0731 26.1323 Å, 90.00 90.00 90.00°
Sites, in units of the cell vectors:
Ca 0.0000 0.0000 0.0000
Ca 0.0000 0.5000 0.2500
Ca 0.5000 0.0000 0.7500
Ca 0.5000 0.5000 0.5000
Hf 0.2464 0.2500 0.1250
Hf 0.2500 0.7464 0.3750
Hf 0.2500 0.7536 0.8750
Hf 0.2536 0.2500 0.6250
Hf 0.7464 0.7500 0.6250
Hf 0.7500 0.2464 0.8750
Hf 0.7500 0.2536 0.3750
Hf 0.7536 0.7500 0.1250
Br 0.0000 0.0000 0.5000
Br 0.0000 0.5000 0.7500
Br 0.5000 0.0000 0.2500
Br 0.5000 0.5000 0.0000

Computed properties:
- excess energy over the best structure of this formula in the dataset (meV/atom) = 0

***

Record 2
A plane-wave DFT calculation with PBE-GGA was carried out for a relaxed CaHfBr3 crystal.

Cell: 5.6085 5.6085 5.6085 Å, 90.00 90.00 90.00°
Sites, in units of the cell vectors:
Ca 0.0000 0.0000 0.0000
Hf 0.5000 0.5000 0.5000
Br 0.0000 0.0000 0.5000
Br 0.0000 0.5000 0.0000
Br 0.5000 0.0000 0.0000

***

Record 3
A plane-wave DFT calculation with PBE-GGA was carried out for a relaxed Ca2LaHfBr crystal.

Cell: 6.2799 6.2799 5.2771 Å, 90.00 90.00 90.00°
Sites, in units of the cell vectors:
Ca 0.0000 0.5000 0.0000
Ca 0.5000 0.0000 0.0000
La 0.0000 0.0000 0.0000
Hf 0.0000 0.0000 0.5000
Br 0.5000 0.5000 0.5000

***

Record 4
A plane-wave DFT calculation with PBE-GGA was carried out for a relaxed CaHfMgBr2 crystal.

Cell: 5.3324 5.3324 6.9602 Å, 90.00 90.00 90.00°
Sites, in units of the cell vectors:
Ca 0.0000 0.0000 0.0000
Hf 0.5000 0.5000 0.5000
Mg 0.0000 0.0000 0.5000
Br 0.0000 0.5000 0.0000
Br 0.5000 0.0000 0.0000

***

Record 5
A plane-wave DFT calculation with PBE-GGA was carried out for a relaxed Ca2HfMnBr crystal.

Cell: 6.1946 6.1946 4.5206 Å, 90.00 90.00 90.00°
Sites, in units of the cell vectors:
Ca 0.0000 0.5000 0.0000
Ca 0.5000 0.0000 0.0000
Hf 0.0000 0.0000 0.0000
Mn 0.0000 0.0000 0.5000
Br 0.5000 0.5000 0.5000

Computed properties:
- excess energy over the best structure of this formula in the dataset (meV/atom) = 0

***

Record 6
A plane-wave DFT calculation with PBE-GGA was carried out for a relaxed Ca2HfMnBr crystal.

Cell: 6.1547 6.1547 5.0621 Å, 90.00 90.00 90.00°
Sites, in units of the cell vectors:
Ca 0.0000 0.5000 0.0000
Ca 0.5000 0.0000 0.0000
Hf 0.0000 0.0000 0.0000
Mn 0.5000 0.5000 0.5000
Br 0.0000 0.0000 0.5000

Computed properties:
- excess energy over the best structure of this formula in the dataset (meV/atom) = 261

***

Record 7
A plane-wave DFT calculation with PBE-GGA was carried out for a relaxed CaHfSeBr2 crystal.

Cell: 5.2352 5.2352 5.2551 Å, 90.00 90.00 90.00°
Sites, in units of the cell vectors:
Ca 0.0000 0.0000 0.0000
Hf 0.5000 0.5000 0.5000
Se 0.5000 0.5000 0.0000
Br 0.0000 0.5000 0.5000
Br 0.5000 0.0000 0.5000

Computed properties:
- excess energy over the best structure of this formula in the dataset (meV/atom) = 0

***

Record 8
A plane-wave DFT calculation with PBE-GGA was carried out for a relaxed CaHfSeBr2 crystal.

Cell: 5.2952 5.2952 5.7475 Å, 90.00 90.00 90.00°
Sites, in units of the cell vectors:
Ca 0.0000 0.0000 0.0000
Hf 0.5000 0.5000 0.5000
Se 0.0000 0.0000 0.5000
Br 0.0000 0.5000 0.0000
Br 0.5000 0.0000 0.0000

Computed properties:
- excess energy over the best structure of this formula in the dataset (meV/atom) = 624

***

Number 1: formation energy from raw total energies 0.18 eV/atom, total magnetic moment 0.0 μB per formula unit. Number 2: formation energy from raw total energies -0.38 eV/atom, total magnetic moment 2.4 μB per formula unit. Number 3: formation energy from raw total energies 0.87 eV/atom, total magnetic moment 0.8 μB per formula unit. Number 4: formation energy from raw total energies 0.19 eV/atom, total magnetic moment 2.3 μB per formula unit. Number 5: formation energy from raw total energies 0.59 eV/atom, total magnetic moment 0.8 μB per formula unit. Number 6: formation energy from raw total energies 0.85 eV/atom, total magnetic moment 5.5 μB per formula unit. Number 7: formation energy from raw total energies -0.88 eV/atom, total magnetic moment 0.0 μB per formula unit. Number 8: formation energy from raw total energies -0.25 eV/atom, total magnetic moment 1.8 μB per formula unit.